The following is a GGA+U calculation of MnTl3Zn2F9 after structural relaxation, from Alexandria.

Its raw total energy is -66.88 eV per formula unit. The density is 7.1 g cm⁻³. For the size of the total moment, the calculation gives 5.000 μB/cell.

The space group is P-3m1 (No. 164) and the conventional cell measures 5.9898, 5.9898 and 7.3400 Å, with angles of 90.00, 90.00 and 120.00 degrees. The asymmetric unit holds Mn at (0.0000, 0.0000, 0.0000), Tl at (0.0000, 0.0000, 0.5000), Tl at (0.3333, 0.6667, 0.1694), Zn at (0.3333, 0.6667, 0.6640), F at (0.0000, 0.5000, 0.5000) and F at (0.1696, 0.3391, 0.8288).